Here is a PBEsol-optimized structure of Y2ScPb2 from Alexandria via LeMat-Bulk. Energies are from SCAN. Values from VASP.

Calculated values
formation energy: 5 meV per atom
volume: 153 Å³ per cell
excess energy over the best structure of this formula in the dataset: 3.785 eV/f.u.
magnetic moment: 1.9 μB/f.u.

Cell and atoms, written as Quantum ESPRESSO input:
```
&SYSTEM
  ibrav = 0, nat = 5, ntyp = 3
/
ATOMIC_SPECIES
Y 88.91 Y.upf
Sc 44.96 Sc.upf
Pb 207.20 Pb.upf
CELL_PARAMETERS angstrom
-2.174 2.174 8.084
2.174 -2.174 8.084
2.174 2.174 -8.084
ATOMIC_POSITIONS angstrom
Y 0.000 0.000 1.636
Y 0.000 0.000 14.531
Sc 0.000 0.000 8.084
Pb 2.174 0.000 4.042
Pb 0.000 2.174 4.042
```

Here is a PBEsol-optimized structure of YSc2Pb from Alexandria via LeMat-Bulk. Energies are from SCAN. Values from VASP.

Calculated values
formation energy: -264 meV per atom
volume: 99 Å³ per cell
magnetic moment: 0.0 μB/f.u.

Cell and atoms, written as Quantum ESPRESSO input:
```
&SYSTEM
  ibrav = 0, nat = 4, ntyp = 3
/
ATOMIC_SPECIES
Y 88.91 Y.upf
Sc 44.96 Sc.upf
Pb 207.20 Pb.upf
CELL_PARAMETERS angstrom
3.455 0.000 0.000
0.000 4.339 0.000
0.000 0.000 6.606
ATOMIC_POSITIONS angstrom
Y 0.000 0.000 0.000
Sc 1.727 2.169 1.698
Sc 1.727 2.169 4.908
Pb 0.000 0.000 3.303
```

Here is a PBEsol-optimized structure of YScPb2 from Alexandria via LeMat-Bulk. Energies are from SCAN. Values from VASP.

Calculated values
formation energy: -681 meV per atom
volume: 101 Å³ per cell
magnetic moment: 0.0 μB/f.u.

Cell and atoms, written as Quantum ESPRESSO input:
```
&SYSTEM
  ibrav = 0, nat = 4, ntyp = 3
/
ATOMIC_SPECIES
Y 88.91 Y.upf
Sc 44.96 Sc.upf
Pb 207.20 Pb.upf
CELL_PARAMETERS angstrom
-2.182 2.182 5.299
2.182 -2.182 5.299
2.182 2.182 -5.299
ATOMIC_POSITIONS angstrom
Y 0.000 0.000 0.000
Sc 0.000 2.182 2.649
Pb 2.182 0.000 2.649
Pb 0.000 0.000 5.299
```

Here is a PBEsol-optimized structure of YScPb2 from Alexandria via LeMat-Bulk. Energies are from SCAN. Values from VASP.

Calculated values
formation energy: -607 meV per atom
volume: 100 Å³ per cell
magnetic moment: 1.1 μB/f.u.

Cell and atoms, written as Quantum ESPRESSO input:
```
&SYSTEM
  ibrav = 0, nat = 4, ntyp = 3
/
ATOMIC_SPECIES
Y 88.91 Y.upf
Sc 44.96 Sc.upf
Pb 207.20 Pb.upf
CELL_PARAMETERS angstrom
3.432 0.000 0.000
0.000 4.258 0.000
-0.026 0.000 6.870
ATOMIC_POSITIONS angstrom
Y 0.000 0.000 0.000
Sc -0.013 0.000 3.435
Pb 1.707 2.129 1.809
Pb 1.698 2.129 5.061
```

Here is a PBEsol-optimized structure of YScPb2 from Alexandria via LeMat-Bulk. Energies are from SCAN. Values from VASP.

Calculated values
formation energy: -612 meV per atom
volume: 105 Å³ per cell
magnetic moment: 0.0 μB/f.u.

Cell and atoms, written as Quantum ESPRESSO input:
```
&SYSTEM
  ibrav = 0, nat = 4, ntyp = 3
/
ATOMIC_SPECIES
Y 88.91 Y.upf
Sc 44.96 Sc.upf
Pb 207.20 Pb.upf
CELL_PARAMETERS angstrom
3.628 0.000 0.000
0.000 4.994 0.000
-1.534 0.000 5.783
ATOMIC_POSITIONS angstrom
Y 0.000 0.000 0.000
Sc -0.259 2.497 2.973
Pb 1.848 2.497 0.168
Pb 1.499 0.000 2.799
```

Here is a PBEsol-optimized structure of ScZn2Pb from Alexandria via LeMat-Bulk. Energies are from SCAN. Values from VASP.

Calculated values
formation energy: -185 meV per atom
volume: 77 Å³ per cell
magnetic moment: 0.0 μB/f.u.

Cell and atoms, written as Quantum ESPRESSO input:
```
&SYSTEM
  ibrav = 0, nat = 4, ntyp = 3
/
ATOMIC_SPECIES
Sc 44.96 Sc.upf
Zn 65.41 Zn.upf
Pb 207.20 Pb.upf
CELL_PARAMETERS angstrom
-2.088 2.088 4.430
2.088 -2.088 4.430
2.088 2.088 -4.430
ATOMIC_POSITIONS angstrom
Sc 0.000 0.000 0.000
Zn 2.088 0.000 2.215
Zn 0.000 2.088 2.215
Pb 0.000 0.000 4.430
```

Here is a PBEsol-optimized structure of ScZnPb2 from Alexandria via LeMat-Bulk. Energies are from SCAN. Values from VASP.

Calculated values
formation energy: -126 meV per atom
volume: 95 Å³ per cell
magnetic moment: 0.0 μB/f.u.

Cell and atoms, written as Quantum ESPRESSO input:
```
&SYSTEM
  ibrav = 0, nat = 4, ntyp = 3
/
ATOMIC_SPECIES
Sc 44.96 Sc.upf
Zn 65.41 Zn.upf
Pb 207.20 Pb.upf
CELL_PARAMETERS angstrom
3.241 0.000 0.000
0.000 4.451 0.000
-0.029 0.000 6.578
ATOMIC_POSITIONS angstrom
Sc 0.000 0.000 0.000
Zn 1.606 0.000 3.289
Pb 1.582 2.225 4.981
Pb 1.630 2.225 1.596
```

Here is a PBEsol-optimized structure of Sc2Zn2Pb from Alexandria via LeMat-Bulk. Energies are from SCAN. Values from VASP.

Calculated values
formation energy: -465 meV per atom
volume: 195 Å³ per cell
magnetic moment: 0.0 μB/f.u.

Cell and atoms, written as Quantum ESPRESSO input:
```
&SYSTEM
  ibrav = 0, nat = 10, ntyp = 3
/
ATOMIC_SPECIES
Sc 44.96 Sc.upf
Zn 65.41 Zn.upf
Pb 207.20 Pb.upf
CELL_PARAMETERS angstrom
6.886 0.000 0.000
0.000 6.886 0.000
0.000 0.000 4.123
ATOMIC_POSITIONS angstrom
Sc 1.152 2.291 0.000
Sc 2.291 5.734 0.000
Sc 4.595 1.152 0.000
Sc 5.734 4.595 0.000
Zn 0.849 4.292 2.061
Zn 2.594 0.849 2.061
Zn 4.292 6.037 2.061
Zn 6.037 2.594 2.061
Pb 0.000 0.000 2.061
Pb 3.443 3.443 2.061
```

- What is the formula in the third record?
  YScPb2